Entry 1:
# SrZnS

An optimized crystal structure of SrZnS (PBE, Alexandria).

a = 4.1433 Å, b = 4.1433 Å, c = 9.1582 Å
α = 90.00°, β = 90.00°, γ = 90.00°
Closest atoms and distances in Å follow each position.
Element x y z (fractional)
Sr 0.2500 0.2500 0.1637  5 S 2.93-3.02
Sr 0.7500 0.7500 0.8363  5 S 2.93-3.02
Zn 0.2500 0.7500 0.5000  4 Zn 2.93
Zn 0.7500 0.2500 0.5000  4 Zn 2.93
S 0.2500 0.2500 0.8344  5 Sr 2.93-3.02
S 0.7500 0.7500 0.1656  5 Sr 2.93-3.02

Properties
- density (g/cm³) = 3.910
- uncorrected energy (eV/atom) = -3.474
- space-group type = P4/nmm
- ΔE_f (raw) (meV/atom) = -1113


Entry 2:
# LaCu3Te

An optimized crystal structure of LaCu3Te (PBE, Alexandria).

a = 4.9281 Å, b = 4.9281 Å, c = 4.9281 Å
α = 90.00°, β = 90.00°, γ = 90.00°
Closest atoms and distances in Å follow each position.
Element x y z (fractional)
La 0.0000 0.0000 0.0000  12 Cu 3.48
Cu 0.0000 0.5000 0.5000  2 Te 2.46
Cu 0.5000 0.0000 0.5000  2 Te 2.46
Cu 0.5000 0.5000 0.0000  2 Te 2.46
Te 0.5000 0.5000 0.5000  6 Cu 2.46

Properties
- density (g/cm³) = 6.343
- polymorph energy (0 for the lowest one) (eV per formula unit) = 0.00
- uncorrected energy (eV/atom) = -3.750
- space-group type = Pm-3m
- ΔE_f (raw) (meV/atom) = 321